KUPtS4: optimized geometry, PBE.

a = 6.4309 Å, b = 6.1241 Å, c = 8.8240 Å
α = 90.00°, β = 106.58°, γ = 90.00°
Closest atoms and distances in Å follow each position.
Space group P2_1/m (No. 11)
Inequivalent atoms, fractional coordinates:
K (0.2387, 0.2500, 0.0382)  4 S 3.05-3.32
U (0.2429, 0.2500, 0.5481)  6 S 2.54-2.79
Pt (0.2333, 0.7500, 0.3740)  4 S 2.29-2.44
S (0.0324, 0.5182, 0.7019)  1 Pt 2.33
S (0.4568, 0.7500, 0.1923)  1 Pt 2.44, 1 U 2.54
S (0.4835, 0.7500, 0.6173)  1 Pt 2.29

## Properties
Formation energy without anion corrections (eV/atom): -0.94